A plane-wave DFT calculation with GGA-PBE was carried out for a relaxed Be2TcPd crystal.

POSCAR file:
```
Be2TcPd
1.0
-1.382 0.816 2.253
1.258 -1.967 1.484
4.358 3.773 1.306
Pd Tc Be
1 1 2
Direct
0.500 0.500 0.000
0.500 0.500 0.500
0.000 0.000 0.241
0.000 0.000 0.759
```

Calculated values
The calculation puts the formation energy at -0.28 eV per atom. The space-group type is No. 123. The energy above the most stable polymorph in this dataset comes out at 0.000 eV per atom.

---

A plane-wave DFT calculation with GGA-PBE was carried out for a relaxed PaTiNb crystal.

POSCAR file:
```
PaTiNb
1.0
3.111 0.000 0.000
0.000 4.686 0.000
0.000 -2.343 4.058
Pa Nb Ti
1 1 1
Direct
0.711 0.333 0.667
0.975 0.000 0.000
0.314 0.667 0.333
```

Calculated values
The calculation puts the formation energy at 0.03 eV per atom. The space-group type is No. 156. The energy above the most stable polymorph in this dataset comes out at 0.000 eV per atom.

---

A plane-wave DFT calculation with GGA-PBE was carried out for a relaxed GaPtI3 crystal.

POSCAR file:
```
GaPtI3
1.0
5.554 0.000 0.000
0.000 5.554 0.000
0.000 0.000 5.554
Pt Ga I
1 1 3
Direct
0.500 0.500 0.500
0.000 0.000 0.000
0.000 0.000 0.500
0.500 0.000 0.000
0.000 0.500 0.000
```

Calculated values
The space-group type is No. 221. The energy above the most stable polymorph in this dataset comes out at 0.775 eV per atom. The value obtained for the energy relative to the elements, uncorrected is 0.7269 eV/atom.

---

A plane-wave DFT calculation with GGA-PBE was carried out for a relaxed Ba2GaGePt6 crystal.

POSCAR file:
```
Ba2GaGePt6
1.0
6.808 0.076 0.041
-0.050 6.850 0.108
3.387 3.448 4.896
Ba Pt Ge Ga
2 6 1 1
Direct
0.708 0.292 0.584
0.292 0.708 0.416
0.252 0.744 0.893
0.746 0.854 0.507
0.254 0.146 0.493
0.852 0.748 0.892
0.148 0.252 0.108
0.748 0.256 0.107
0.500 0.500 0.000
0.000 0.000 0.000
```

Calculated values
The calculation puts the formation energy at -0.68 eV per atom. The space-group type is No. 2.

---

A plane-wave DFT calculation with GGA-PBE was carried out for a relaxed Sm2MgSe4 crystal.

POSCAR file:
```
Sm2MgSe4
1.0
-0.310 -7.486 1.439
1.999 -1.621 -8.000
11.860 0.075 2.948
Se Sm Mg
16 8 4
Direct
0.496 0.635 0.657
0.504 0.865 0.157
0.250 0.897 0.445
0.250 0.278 0.610
0.996 0.865 0.157
0.996 0.365 0.343
0.250 0.397 0.055
0.750 0.222 0.110
0.004 0.635 0.657
0.750 0.103 0.555
0.750 0.722 0.390
0.250 0.778 0.890
0.004 0.135 0.843
0.496 0.135 0.843
0.750 0.603 0.945
0.504 0.365 0.343
0.250 0.572 0.475
0.750 0.550 0.184
0.750 0.428 0.525
0.250 0.072 0.025
0.250 0.950 0.684
0.250 0.450 0.816
0.750 0.050 0.316
0.750 0.928 0.975
0.750 0.315 0.910
0.250 0.185 0.410
0.750 0.815 0.590
0.250 0.685 0.090
```

Calculated values
The space-group type is No. 62. The energy above the most stable polymorph in this dataset comes out at 0.172 eV per atom. The value obtained for the energy relative to the elements, uncorrected is -1.5045 eV/atom.

---

A plane-wave DFT calculation with GGA-PBE was carried out for a relaxed PmScSb crystal.

POSCAR file:
```
PmScSb
1.0
5.701 0.000 0.000
0.000 3.434 0.000
-2.850 -1.717 8.652
Sc Pm Sb
2 2 2
Direct
0.257 0.500 0.000
0.743 0.500 0.000
0.667 0.167 0.333
0.333 0.833 0.667
0.151 0.651 0.302
0.849 0.349 0.698
```

Calculated values
The space-group type is No. 71. The energy above the most stable polymorph in this dataset comes out at 0.426 eV per atom. The value obtained for the energy relative to the elements, uncorrected is -0.4545 eV/atom.

---

A plane-wave DFT calculation with GGA-PBE was carried out for a relaxed TaMnAl2 crystal.

POSCAR file:
```
TaMnAl2
1.0
-3.614 2.456 0.467
-1.571 -2.158 -0.812
-0.650 -1.827 4.576
Al Ta Mn
2 1 1
Direct
0.500 0.162 0.275
0.000 0.120 0.981
0.500 0.683 0.762
0.000 0.535 0.482
```

Calculated values
The calculation puts the formation energy at -0.13 eV per atom. The space-group type is No. 6. The energy above the most stable polymorph in this dataset comes out at 0.087 eV per atom.

---

A plane-wave DFT calculation with GGA-PBE was carried out for a relaxed PrSc2Tl crystal.

POSCAR file:
```
PrSc2Tl
1.0
3.510 0.000 0.000
0.000 3.510 0.000
0.000 0.000 8.654
Sc Pr Tl
2 1 1
Direct
0.000 0.000 0.220
0.000 0.000 0.780
0.500 0.500 0.500
0.500 0.500 0.000
```

Calculated values
The calculation puts the formation energy at -0.13 eV per atom. The space-group type is No. 123. The energy above the most stable polymorph in this dataset comes out at 0.025 eV per atom.

---

no.,spin magnetization (Bohr magnetons per cell)
1,0.119
2,0.000
3,0.854
4,0.000
5,0.000
6,1.119
7,1.583
8,0.000